5
Lattice="-4.010 1.949 -1.780 0.462 -2.110 -3.351 -2.581 -3.576 1.897" Properties=species:S:1:pos:R:3 comment="Tc2MoOsF, relaxed, DFT GGA+U" sg=P4/mmm magnetic_moment_mub_per_atom=0.194 dos_at_fermi_per_ev_atom=0.81 e_tot_ev_per_atom=-7.00 vol_a3_per_atom=18.4 pbc="T T T"
Mo -3.064 -1.869 -1.617
Os 0.000 0.000 0.000
Tc -1.290 -1.788 0.948
F 0.231 -1.055 -1.676
Tc -2.005 0.975 -0.890